Entry 1:
# Co6CuIr meta-GGA SCAN PBEsol geometry
data_Co6CuIr
_chemical_formula_sum 'Co24 Cu4 Ir4'
_symmetry_space_group_name_H-M 'P 1'
_symmetry_Int_Tables_number 1
_symmetry_space_group_name_Hall 'P 1'
_cell_length_a 6.110
_cell_length_b 6.110
_cell_length_c 9.978
_cell_angle_alpha 90.00
_cell_angle_beta 90.00
_cell_angle_gamma 109.61
loop_
_atom_site_label
_atom_site_type_symbol
_atom_site_fract_x
_atom_site_fract_y
_atom_site_fract_z
Co1 Co 0.120 0.373 0.623
Co2 Co 0.500 0.500 0.000
Co3 Co 0.000 0.000 0.500
Ir1 Ir 0.500 0.500 0.747
Ir2 Ir 0.750 0.250 0.000
Co4 Co 0.880 0.627 0.377
Cu1 Cu 0.252 0.748 0.500
Co5 Co 0.500 0.500 0.500
Co6 Co 0.372 0.124 0.873
Ir3 Ir 0.500 0.500 0.253
Cu2 Cu 0.000 0.000 0.253
Co7 Co 0.752 0.248 0.253
Co8 Co 0.120 0.373 0.377
Co9 Co 0.373 0.120 0.623
Co10 Co 0.372 0.124 0.127
Co11 Co 0.124 0.372 0.127
Co12 Co 0.124 0.372 0.873
Co13 Co 0.876 0.628 0.873
Co14 Co 0.627 0.880 0.623
Co15 Co 0.752 0.248 0.747
Co16 Co 0.248 0.752 0.747
Co17 Co 0.876 0.628 0.127
Co18 Co 0.880 0.627 0.623
Cu3 Cu 0.748 0.252 0.500
Co19 Co 0.628 0.876 0.127
Co20 Co 0.627 0.880 0.377
Co21 Co 0.628 0.876 0.873
Co22 Co 0.000 0.000 0.000
Ir4 Ir 0.250 0.750 0.000
Co23 Co 0.373 0.120 0.377
Cu4 Cu 0.000 0.000 0.747
Co24 Co 0.248 0.752 0.253
# Crystal system = orthorhombic
# Symmetry = Cmmm
# Formation enthalpy at 0 K = 0.06 eV per atom

Entry 2:
# K2ZnRe meta-GGA SCAN PBEsol geometry
data_K2ZnRe
_chemical_formula_sum 'K2 Zn1 Re1'
_symmetry_space_group_name_H-M 'P 1'
_symmetry_Int_Tables_number 1
_symmetry_space_group_name_Hall 'P 1'
_cell_length_a 2.693
_cell_length_b 5.624
_cell_length_c 5.600
_cell_angle_alpha 90.00
_cell_angle_beta 90.00
_cell_angle_gamma 90.00
loop_
_atom_site_label
_atom_site_type_symbol
_atom_site_fract_x
_atom_site_fract_y
_atom_site_fract_z
Zn1 Zn 0.500 0.500 0.500
K1 K 0.000 0.000 0.249
Re1 Re 0.500 0.500 0.000
K2 K 0.000 0.000 0.751
# Crystal system = orthorhombic
# Symmetry = Pmmm
# Formation enthalpy at 0 K = 1.21 eV per atom

Entry 3:
# LaYNi2 meta-GGA SCAN PBEsol geometry
data_LaYNi2
_chemical_formula_sum 'La1 Y1 Ni2'
_symmetry_space_group_name_H-M 'P 1'
_symmetry_Int_Tables_number 1
_symmetry_space_group_name_Hall 'P 1'
_cell_length_a 3.372
_cell_length_b 3.372
_cell_length_c 7.356
_cell_angle_alpha 90.00
_cell_angle_beta 90.00
_cell_angle_gamma 90.01
loop_
_atom_site_label
_atom_site_type_symbol
_atom_site_fract_x
_atom_site_fract_y
_atom_site_fract_z
Ni1 Ni 0.500 0.500 0.204
La1 La 0.500 0.500 0.838
Ni2 Ni 0.000 0.000 0.052
Y1 Y 0.000 0.000 0.407
# Excess energy over the best structure of this formula in the dataset = 335 meV/atom
# Crystal system = tetragonal
# Symmetry = P4mm
# Formation enthalpy at 0 K = -0.01 eV per atom

Entry 4:
# Li3MgTc meta-GGA SCAN PBEsol geometry
data_Li3MgTc
_chemical_formula_sum 'Li3 Mg1 Tc1'
_symmetry_space_group_name_H-M 'P 1'
_symmetry_Int_Tables_number 1
_symmetry_space_group_name_Hall 'P 1'
_cell_length_a 4.715
_cell_length_b 4.715
_cell_length_c 4.715
_cell_angle_alpha 90.00
_cell_angle_beta 90.00
_cell_angle_gamma 90.00
loop_
_atom_site_label
_atom_site_type_symbol
_atom_site_fract_x
_atom_site_fract_y
_atom_site_fract_z
Tc1 Tc 0.000 0.000 0.000
Li1 Li 0.000 0.000 0.500
Li2 Li 0.000 0.500 0.000
Li3 Li 0.500 0.000 0.000
Mg1 Mg 0.500 0.500 0.500
# Crystal system = cubic
# Symmetry = Pm-3m
# Formation enthalpy at 0 K = 0.99 eV per atom

Entry 5:
# ZnIr2Rh meta-GGA SCAN PBEsol geometry
data_ZnIr2Rh
_chemical_formula_sum 'Zn1 Ir2 Rh1'
_symmetry_space_group_name_H-M 'P 1'
_symmetry_Int_Tables_number 1
_symmetry_space_group_name_Hall 'P 1'
_cell_length_a 2.737
_cell_length_b 4.511
_cell_length_c 4.515
_cell_angle_alpha 90.00
_cell_angle_beta 90.00
_cell_angle_gamma 90.00
loop_
_atom_site_label
_atom_site_type_symbol
_atom_site_fract_x
_atom_site_fract_y
_atom_site_fract_z
Rh1 Rh 0.500 0.000 0.500
Ir1 Ir 0.000 0.000 0.000
Ir2 Ir 0.500 0.500 0.000
Zn1 Zn 0.000 0.500 0.500
# Crystal system = orthorhombic
# Symmetry = Pmmm
# Formation enthalpy at 0 K = 0.05 eV per atom

Entry 6:
# ScAuSe2 meta-GGA SCAN PBEsol geometry
data_ScAuSe2
_chemical_formula_sum 'Sc1 Au1 Se2'
_symmetry_space_group_name_H-M 'P 1'
_symmetry_Int_Tables_number 1
_symmetry_space_group_name_Hall 'P 1'
_cell_length_a 3.979
_cell_length_b 3.979
_cell_length_c 6.519
_cell_angle_alpha 72.23
_cell_angle_beta 72.23
_cell_angle_gamma 60.00
loop_
_atom_site_label
_atom_site_type_symbol
_atom_site_fract_x
_atom_site_fract_y
_atom_site_fract_z
Se1 Se 0.253 0.253 0.242
Sc1 Sc 0.000 0.000 0.000
Au1 Au 0.500 0.500 0.500
Se2 Se 0.747 0.747 0.758
# Crystal system = trigonal
# Symmetry = R-3m

Entry 7:
# NaLiSb2Te meta-GGA SCAN PBEsol geometry
data_NaLiSb2Te
_chemical_formula_sum 'Na1 Li1 Sb2 Te1'
_symmetry_space_group_name_H-M 'P 1'
_symmetry_Int_Tables_number 1
_symmetry_space_group_name_Hall 'P 1'
_cell_length_a 4.967
_cell_length_b 4.967
_cell_length_c 5.389
_cell_angle_alpha 90.00
_cell_angle_beta 90.00
_cell_angle_gamma 90.00
loop_
_atom_site_label
_atom_site_type_symbol
_atom_site_fract_x
_atom_site_fract_y
_atom_site_fract_z
Te1 Te 0.000 0.000 0.500
Li1 Li 0.000 0.000 0.000
Na1 Na 0.500 0.500 0.500
Sb1 Sb 0.500 0.000 0.000
Sb2 Sb 0.000 0.500 0.000
# Crystal system = tetragonal
# Symmetry = P4/mmm

Entry 8:
# Ta12MoO33 meta-GGA SCAN PBEsol geometry
data_Ta12MoO33
_chemical_formula_sum 'Ta12 Mo1 O33'
_symmetry_space_group_name_H-M 'P 1'
_symmetry_Int_Tables_number 1
_symmetry_space_group_name_Hall 'P 1'
_cell_length_a 3.829
_cell_length_b 11.348
_cell_length_c 15.038
_cell_angle_alpha 83.55
_cell_angle_beta 82.69
_cell_angle_gamma 80.29
loop_
_atom_site_label
_atom_site_type_symbol
_atom_site_fract_x
_atom_site_fract_y
_atom_site_fract_z
Ta1 Ta 0.749 0.143 0.363
O1 O 0.975 0.875 0.174
Ta2 Ta 0.963 0.284 0.786
O2 O 0.121 0.658 0.097
O3 O 0.548 0.669 0.231
Ta3 Ta 0.366 0.527 0.732
O4 O 0.199 0.024 0.581
O5 O 0.103 0.520 0.270
Mo1 Mo 0.752 0.500 0.500
O6 O 0.322 0.682 0.675
Ta4 Ta 0.255 0.857 0.637
Ta5 Ta 0.033 0.716 0.214
O7 O 0.721 0.575 0.981
O8 O 0.292 0.565 0.849
O9 O 0.533 0.530 0.402
O10 O 0.147 0.779 0.926
O11 O 0.892 0.480 0.730
O12 O 0.929 0.630 0.513
Ta6 Ta 0.797 0.378 0.026
Ta7 Ta 0.917 0.047 0.120
O13 O 0.804 0.976 0.419
O14 O 0.706 0.435 0.151
O15 O 0.652 0.192 0.509
O16 O 0.826 0.100 0.250
O17 O 0.023 0.125 0.826
O18 O 0.590 0.951 0.869
Ta8 Ta 0.625 0.473 0.268
O19 O 0.353 0.808 0.491
Ta9 Ta 0.139 0.188 0.544
O20 O 0.779 0.845 0.601
O21 O 0.049 0.246 0.656
O22 O 0.277 0.425 0.019
Ta10 Ta 0.871 0.812 0.456
Ta11 Ta 0.083 0.953 0.880
O23 O 0.225 0.155 0.399
O24 O 0.000 0.000 0.000
O25 O 0.679 0.318 0.325
O26 O 0.176 0.900 0.750
O27 O 0.951 0.754 0.344
O28 O 0.876 0.342 0.903
O29 O 0.852 0.221 0.074
Ta12 Ta 0.201 0.622 0.974
O30 O 0.410 0.049 0.131
O31 O 0.465 0.470 0.598
O32 O 0.448 0.331 0.769
O33 O 0.072 0.370 0.487
# Crystal system = monoclinic
# Symmetry = C2

Entry 9:
# BaIr3Ru meta-GGA SCAN PBEsol geometry
data_BaIr3Ru
_chemical_formula_sum 'Ba1 Ir3 Ru1'
_symmetry_space_group_name_H-M 'P 1'
_symmetry_Int_Tables_number 1
_symmetry_space_group_name_Hall 'P 1'
_cell_length_a 4.936
_cell_length_b 4.936
_cell_length_c 4.936
_cell_angle_alpha 90.00
_cell_angle_beta 90.00
_cell_angle_gamma 90.00
loop_
_atom_site_label
_atom_site_type_symbol
_atom_site_fract_x
_atom_site_fract_y
_atom_site_fract_z
Ir1 Ir 0.000 0.500 0.000
Ru1 Ru 0.500 0.500 0.500
Ir2 Ir 0.500 0.000 0.000
Ir3 Ir 0.000 0.000 0.500
Ba1 Ba 0.000 0.000 0.000
# Crystal system = cubic
# Symmetry = Pm-3m
# Formation enthalpy at 0 K = 3.49 eV per atom

Entry 10:
# BaWI2O meta-GGA SCAN PBEsol geometry
data_BaWI2O
_chemical_formula_sum 'Ba1 W1 I2 O1'
_symmetry_space_group_name_H-M 'P 1'
_symmetry_Int_Tables_number 1
_symmetry_space_group_name_Hall 'P 1'
_cell_length_a 4.388
_cell_length_b 6.498
_cell_length_c 6.498
_cell_angle_alpha 90.00
_cell_angle_beta 90.00
_cell_angle_gamma 90.00
loop_
_atom_site_label
_atom_site_type_symbol
_atom_site_fract_x
_atom_site_fract_y
_atom_site_fract_z
I1 I 0.000 0.000 0.500
I2 I 0.000 0.500 0.000
Ba1 Ba 0.000 0.000 0.000
W1 W 0.500 0.500 0.500
O1 O 0.500 0.000 0.000
# Crystal system = tetragonal
# Symmetry = P4/mmm

Number 1: total moment 48.441 Bohr magnetons per cell, total DFT energy (no corrections) -23.708 eV per atom. Number 2: total moment 0.000 Bohr magnetons per cell, total DFT energy (no corrections) -24.107 eV per atom. Number 3: total moment 0.000 Bohr magnetons per cell, total DFT energy (no corrections) -25.836 eV per atom. Number 4: total moment 2.248 Bohr magnetons per cell, total DFT energy (no corrections) -8.455 eV per atom. Number 5: total moment 0.005 Bohr magnetons per cell, total DFT energy (no corrections) -47.318 eV per atom. Number 6: total moment 0.000 Bohr magnetons per cell, total DFT energy (no corrections) -31.800 eV per atom. Number 7: total moment 0.000 Bohr magnetons per cell, total DFT energy (no corrections) -23.695 eV per atom. Number 8: total moment 0.000 Bohr magnetons per cell, total DFT energy (no corrections) -25.573 eV per atom. Number 9: total moment 4.542 Bohr magnetons per cell, total DFT energy (no corrections) -54.046 eV per atom. Number 10: total moment 4.939 Bohr magnetons per cell, total DFT energy (no corrections) -37.159 eV per atom.